Record 1
{"formula": "TcOs2W", "functional": "GGA-PBEsol", "state": "relaxed", "sg": "I4/mmm, No. 139", "formation_energy_ev_per_atom": 0.04, "cell": [[3.8662, 0.0000, 0.0000], [0.0000, 3.8662, 0.0000], [-1.9331, -1.9331, 3.8575]], "species": ["Os", "Os", "Tc", "W"], "frac_coords": [[0.7500, 0.2500, 0.5000], [0.2500, 0.7500, 0.5000], [0.0000, 0.0000, 0.0000], [0.5000, 0.5000, 0.0000]]}


Record 2
{"formula": "CsUTiTe5", "functional": "GGA-PBEsol", "state": "relaxed", "sg": "Pmma, No. 51", "raw_formation_energy_kj_per_mol_atoms": -72.84, "cell": [[6.0322, 0.0000, 0.0000], [0.0000, 8.3592, 0.0000], [0.0000, 0.0000, 10.0886]], "species": ["Cs", "Cs", "U", "U", "Ti", "Ti", "Te", "Te", "Te", "Te", "Te", "Te", "Te", "Te", "Te", "Te"], "frac_coords": [[0.7500, 0.5000, 0.2152], [0.2500, 0.5000, 0.7848], [0.7500, 0.0000, 0.6764], [0.2500, 0.0000, 0.3236], [0.0000, 0.0000, 0.0000], [0.5000, 0.0000, 0.0000], [0.0000, 0.7559, 0.5000], [0.7500, 0.2469, 0.8917], [0.7500, 0.7531, 0.8917], [0.0000, 0.2441, 0.5000], [0.2500, 0.0000, 0.7688], [0.7500, 0.0000, 0.2312], [0.5000, 0.7559, 0.5000], [0.2500, 0.7531, 0.1083], [0.2500, 0.2469, 0.1083], [0.5000, 0.2441, 0.5000]]}


Record 3
{"formula": "Ni2AsRuI", "functional": "GGA-PBEsol", "state": "relaxed", "sg": "P4/mmm, No. 123", "raw_formation_energy_kj_per_mol_atoms": 174.25, "cell": [[4.4302, 0.0000, 0.0000], [0.0000, 4.4302, 0.0000], [0.0000, 0.0000, 5.4327]], "species": ["I", "Ru", "As", "Ni", "Ni"], "frac_coords": [[0.0000, 0.0000, 0.0000], [0.5000, 0.5000, 0.5000], [0.0000, 0.0000, 0.5000], [0.0000, 0.5000, 0.0000], [0.5000, 0.0000, 0.0000]]}


Record 4
{"formula": "Ba2Rh3", "functional": "GGA-PBEsol", "state": "relaxed", "sg": "P-3m1, No. 164", "formation_energy_ev_per_atom": -0.05, "cell": [[-1.6371, -2.0985, 3.5137], [-0.9889, -1.3992, -4.0614], [7.3179, -5.5125, 0.1173]], "species": ["Rh", "Rh", "Rh", "Ba", "Ba"], "frac_coords": [[0.0000, 0.0000, 0.0000], [0.3333, 0.6667, 0.0511], [0.6667, 0.3333, 0.9489], [0.3333, 0.6667, 0.7337], [0.6667, 0.3333, 0.2663]]}


Record 5
{"formula": "P2HF", "functional": "GGA-PBEsol", "state": "relaxed", "sg": "Fm-3m, No. 225", "final_energy_ev_per_atom": -3.75, "cell": [[-0.8518, -0.0034, 3.8039], [2.2536, -1.9660, 2.5002], [2.2740, 1.9320, 2.5082]], "species": ["P", "P", "F", "H"], "frac_coords": [[0.2500, 0.2500, 0.2500], [0.7500, 0.7500, 0.7500], [0.5000, 0.5000, 0.5000], [0.0000, 0.0000, 0.0000]]}


Record 6
{"formula": "Na3BiBAsO7", "functional": "GGA-PBEsol", "state": "relaxed", "sg": "P2_1/m, No. 11", "raw_formation_energy_kj_per_mol_atoms": -168.29, "cell": [[-4.0032, -0.5343, 3.4130], [-4.6450, -0.3100, -5.4969], [1.1884, -9.4252, -0.4727]], "species": ["Na", "Na", "Na", "Na", "Na", "Na", "Bi", "Bi", "B", "B", "As", "As", "O", "O", "O", "O", "O", "O", "O", "O", "O", "O", "O", "O", "O", "O"], "frac_coords": [[0.2345, 0.2500, 0.9389], [0.7559, 0.0078, 0.7705], [0.7559, 0.4922, 0.7705], [0.2441, 0.5078, 0.2295], [0.2441, 0.9922, 0.2295], [0.7655, 0.7500, 0.0611], [0.2346, 0.7500, 0.6525], [0.7654, 0.2500, 0.3475], [0.2662, 0.7500, 0.9344], [0.7338, 0.2500, 0.0656], [0.2965, 0.2500, 0.6012], [0.7035, 0.7500, 0.3988], [0.7245, 0.2500, 0.9247], [0.0349, 0.7500, 0.8551], [0.4832, 0.7500, 0.8510], [0.1827, 0.0654, 0.6955], [0.1827, 0.4346, 0.6955], [0.6180, 0.2500, 0.6083], [0.7943, 0.7500, 0.5746], [0.2057, 0.2500, 0.4254], [0.3820, 0.7500, 0.3917], [0.8173, 0.5654, 0.3045], [0.8173, 0.9346, 0.3045], [0.5168, 0.2500, 0.1490], [0.9651, 0.2500, 0.1449], [0.2755, 0.7500, 0.0753]]}


| no. | mass density (Mg/m³) |
| --- | --- |
| 1 | 19.1 |
| 2 | 6.9 |
| 3 | 6.5 |
| 4 | 6.3 |
| 5 | 3.2 |
| 6 | 4.4 |